First-principles (SCAN) data for a PBEsol-optimized structure of ZrWCl, as listed in the Alexandria database.

a b c (Å): 4.4661 4.4661 4.4661
angles (deg): 60.00 60.00 60.00
With the nearest neighbours (Å) after each atom.
Sites, in units of the cell vectors:
Zr 0.7500 0.7500 0.7500  4 W 2.73, 4 Cl 2.73
W 0.5000 0.5000 0.5000  4 Zr 2.73
Cl 0.0000 0.0000 0.0000  4 Zr 2.73

- VASP energy (eV/atom) = -34.76
- space-group type = F-43m